First-principles (PBE) data for Mg2TePt after structural relaxation, as listed in the Alexandria database.

Computed properties:
The calculation puts the formation energy without anion corrections at -547 meV/atom.

```
Mg2TePt
1.0
5.712 0.009 -0.001
4.391 3.653 -0.001
0.000 0.000 4.107
Mg Pt Te
2 1 1
Direct
0.021 0.021 0.125 Mg
0.714 0.714 0.625 Mg
0.470 0.470 0.625 Pt
0.295 0.295 0.125 Te
```